Entry 1:
Compound: Rb3Pm3HfO8
Source: the Alexandria database
Functional: PBE
Structure: optimized geometry

Calculated values
Magnetic moment ... 0.00 μB per atom
Density of states at the Fermi level ... 0.00 states/eV/atom
VASP energy ... -7.2488 eV/atom
Formation energy without anion corrections ... -42.0 eV/f.u.

Cell: 7.0595 7.0595 19.9636 Å, 90.00 90.00 120.00°
Closest atoms and distances in Å follow each position.
Space group R-3m (No. 166, hexagonal axes)
Symmetry-distinct sites (fractional):
Rb 0.0000 0.5000 0.0000 x9  6 O 2.96-2.97
Pm 0.0000 0.5000 0.5000 x9  6 O 2.35-2.41
Hf 0.0000 0.0000 0.5000 x3  6 O 2.14
O 0.0000 0.0000 0.2254 x6  3 Pm 2.35
O 0.0325 0.5163 0.2217 x18  1 Hf 2.14

Entry 2:
Compound: Hf2TiV
Source: the Alexandria database
Functional: PBE
Structure: optimized geometry

Calculated values
Magnetic moment ... 0.18 μB per atom
Formation energy from the elements ... 0.1312 eV per atom
Density of states at the Fermi level ... 1.13 states/eV/atom
VASP energy ... -9.0989 eV/atom
Excess energy over the best structure of this formula in the dataset ... 41 meV per atom

Cell: 4.6898 4.6898 3.4858 Å, 90.00 90.00 90.00°
Closest atoms and distances in Å follow each position.
Space group P4/mmm (No. 123)
Symmetry-distinct sites (fractional):
Hf 0.0000 0.5000 0.0000 x2  4 Ti 2.92, 4 V 2.92
Ti 0.0000 0.0000 0.5000 x1  8 Hf 2.92
V 0.5000 0.5000 0.5000 x1  8 Hf 2.92

Entry 3:
Compound: Tb2HoSi
Source: the Alexandria database
Functional: PBE
Structure: optimized geometry

Calculated values
Magnetic moment ... 0.00 μB per atom
Density of states at the Fermi level ... 0.94 states/eV/atom
VASP energy ... -5.0745 eV/atom
Excess energy over the best structure of this formula in the dataset ... 0 meV per atom
Formation energy without anion corrections ... -1.0 eV/f.u.

Cell: 4.6329 4.6329 4.6322 Å, 90.00 90.00 90.00°
Closest atoms and distances in Å follow each position.
Space group P4/mmm (No. 123)
Symmetry-distinct sites (fractional):
Tb 0.0000 0.5000 0.0000 x2  4 Ho 3.28, 4 Si 3.28, 4 Tb 3.28
Ho 0.0000 0.0000 0.5000 x1  8 Tb 3.28, 4 Si 3.28
Si 0.5000 0.5000 0.5000 x1  8 Tb 3.28, 4 Ho 3.28

Entry 4:
Compound: TaVS3
Source: the Alexandria database
Functional: PBE
Structure: optimized geometry

Calculated values
Magnetic moment ... 0.76 μB per atom
Density of states at the Fermi level ... 0.89 states/eV/atom
VASP energy ... -6.3452 eV/atom
Excess energy over the best structure of this formula in the dataset ... 1088 meV per atom
Formation energy without anion corrections ... 1.6 eV/f.u.

Cell: 4.5302 4.5302 4.5302 Å, 90.00 90.00 90.00°
Closest atoms and distances in Å follow each position.
Space group Pm-3m (No. 221)
Symmetry-distinct sites (fractional):
Ta 0.0000 0.0000 0.0000 x1  12 S 3.20
V 0.5000 0.5000 0.5000 x1  6 S 2.27
S 0.0000 0.5000 0.5000 x3  2 V 2.27

Entry 5:
Compound: RbAu2F6
Source: the Alexandria database
Functional: PBE
Structure: optimized geometry

Calculated values
Magnetic moment ... 0.12 μB per atom
Density of states at the Fermi level ... 0.07 states/eV/atom
VASP energy ... -3.4590 eV/atom
Formation energy without anion corrections ... -12.4 eV/f.u.

Cell: 11.0693 11.9109 6.8672 Å, 90.00 119.60 90.00°
Closest atoms and distances in Å follow each position.
Space group C2/c (No. 15)
Symmetry-distinct sites (fractional):
Rb 0.0000 0.1545 0.2500 x4  8 F 2.89-3.10
Au 0.1595 0.4565 0.1876 x8  4 F 1.99-2.12
F 0.0409 0.3972 0.5382 x8  2 Au 2.10-2.12
F 0.1588 0.0262 0.0972 x8  1 Au 2.00
F 0.2424 0.3065 0.3043 x8  1 Au 1.99

Entry 6:
Compound: Ca2NbCo
Source: the Alexandria database
Functional: PBE
Structure: optimized geometry

Calculated values
Magnetic moment ... 1.08 μB per atom
Formation energy from the elements ... 0.9172 eV per atom
Density of states at the Fermi level ... 1.87 states/eV/atom
VASP energy ... -4.3775 eV/atom
Excess energy over the best structure of this formula in the dataset ... 220 meV per atom

Cell: 7.2112 7.2112 7.2112 Å, 90.00 90.00 90.00°
Closest atoms and distances in Å follow each position.
Space group Fm-3m (No. 225)
Symmetry-distinct sites (fractional):
Ca 0.2500 0.2500 0.2500 x8  4 Nb 3.12, 4 Co 3.12
Nb 0.0000 0.0000 0.0000 x4  8 Ca 3.12
Co 0.0000 0.0000 0.5000 x4  8 Ca 3.12

Entry 7:
Compound: CaOsBr3
Source: the Alexandria database
Functional: PBE
Structure: optimized geometry

Calculated values
Magnetic moment ... 1.00 μB per atom
Density of states at the Fermi level ... 1.35 states/eV/atom
VASP energy ... -3.4023 eV/atom
Excess energy over the best structure of this formula in the dataset ... 328 meV per atom
Formation energy without anion corrections ... 1.2 eV/f.u.

Cell: 5.6211 5.6211 5.6211 Å, 90.00 90.00 90.00°
Closest atoms and distances in Å follow each position.
Space group Pm-3m (No. 221)
Symmetry-distinct sites (fractional):
Ca 0.0000 0.0000 0.0000 x1  6 Br 2.81
Os 0.5000 0.5000 0.5000 x1  12 Br 3.97
Br 0.0000 0.0000 0.5000 x3  2 Ca 2.81

Entry 8:
Compound: BaCa2PbCl8
Source: the Alexandria database
Functional: PBE
Structure: optimized geometry

Calculated values
Magnetic moment ... 0.00 μB per atom
Density of states at the Fermi level ... 0.00 states/eV/atom
VASP energy ... -4.1286 eV/atom
Formation energy without anion corrections ... -25.1 eV/f.u.

Cell: 6.6303 8.7828 6.7719 Å, 90.00 90.22 90.00°
Closest atoms and distances in Å follow each position.
Space group P2/m (No. 10)
Symmetry-distinct sites (fractional):
Ba 0.0000 0.0000 0.0000 x1  6 Cl 3.06-3.08
Ca 0.5000 0.2546 0.5000 x2  6 Cl 2.76-2.81
Pb 0.0000 0.5000 0.0000 x1  6 Cl 2.90-2.97
Cl 0.2421 0.2620 0.1801 x4  1 Ca 2.76, 1 Pb 2.90, 1 Ba 3.06
Cl 0.2863 0.5000 0.6636 x2  2 Ca 2.81, 1 Pb 2.97
Cl 0.2925 0.0000 0.6479 x2  2 Ca 2.81, 1 Ba 3.08

Question: What is the density of states at the Fermi level in the eighth record?
Answer: 0.00 states/eV/atom

Question: Which value of magnetic moment does entry 8 give?
Answer: 0.00 μB per atom